Record 1
This record from Alexandria describes a geometry-optimized ScIn3Cl structure. The functional is PBE.

The structure in CIF format:
```
data_ScIn3Cl
_chemical_formula_sum 'Sc1 In3 Cl1'
_cell_length_a 5.786
_cell_length_b 5.786
_cell_length_c 5.786
_cell_angle_alpha 90.00
_cell_angle_beta 90.00
_cell_angle_gamma 90.00
_space_group_name_H-M_alt 'P m -3 m'
_space_group_IT_number 221
_space_group_name_Hall '-P 4 2 3'
loop_
_atom_site_label
_atom_site_fract_x
_atom_site_fract_y
_atom_site_fract_z
_atom_site_occupancy
Sc1 0.000 0.000 0.000 1
In1 0.000 0.000 0.500 1
Cl1 0.500 0.500 0.500 1
```

Output
For the formation energy from raw total energies, the calculation gives 1.41 eV per formula unit. The value obtained for the energy above the most stable polymorph in this dataset is 0.182 eV per formula unit. As for the mass density: 3642 kg/m³. Its total energy is -14.979 eV/cell. For the volume, the calculation gives 194 Å³/f.u.



Record 2
This record from Alexandria describes a geometry-optimized BaPuI4 structure. The functional is PBE.

The structure in CIF format:
```
data_BaPuI4
_chemical_formula_sum 'Ba4 Pu4 I16'
_cell_length_a 10.405
_cell_length_b 15.249
_cell_length_c 7.402
_cell_angle_alpha 90.00
_cell_angle_beta 121.84
_cell_angle_gamma 90.00
_space_group_name_H-M_alt 'C 1 2/c 1'
_space_group_IT_number 15
_space_group_name_Hall '-C 2yc'
loop_
_atom_site_label
_atom_site_fract_x
_atom_site_fract_y
_atom_site_fract_z
_atom_site_occupancy
Ba1 0.000 0.135 0.250 1
Pu1 0.000 0.500 0.250 1
I1 0.114 0.328 0.583 1
I2 0.206 0.062 0.783 1
```

Output
For the formation energy from raw total energies, the calculation gives -8.44 eV per formula unit. The value obtained for the energy above the most stable polymorph in this dataset is 0.000 eV per formula unit. As for the mass density: 5917 kg/m³. Its total energy is -123.562 eV/cell. For the volume, the calculation gives 249 Å³/f.u.